(1)
Material: SrCaGaSn
Method: DFT, PBE
State: relaxed

Cell: 4.4420 4.7172 11.8715 Å, 90.00 90.00 90.00°
Space group Amm2 (No. 38)
Symmetry-distinct sites (fractional):
Sr1 0.0000 0.0000 0.0000
Ca1 0.5000 0.0000 0.2779
Ga1 0.5000 0.0000 0.5686
Sn1 0.0000 0.0000 0.7149

Properties
Crystal system: orthorhombic
Formation energy: -575.8 meV per atom


(2)
Material: VTeS3
Method: DFT, PBE
State: relaxed

Cell: 5.0100 5.0100 5.0100 Å, 90.00 90.00 90.00°
Space group Pm-3m (No. 221)
Symmetry-distinct sites (fractional):
V1 0.0000 0.0000 0.0000
Te1 0.5000 0.5000 0.5000
S1 0.0000 0.5000 0.5000

Properties
Crystal system: cubic
Relative energy among the computed polymorphs: 0.7971 eV/atom
Raw formation energy: 0.794 eV per atom


(3)
Material: TaSn2H
Method: DFT, PBE
State: relaxed

Cell: 6.7629 6.7629 6.7629 Å, 90.00 90.00 90.00°
Space group Fm-3m (No. 225)
Symmetry-distinct sites (fractional):
Ta1 0.0000 0.0000 0.0000
Sn1 0.2500 0.2500 0.2500
H1 0.0000 0.0000 0.5000

Properties
Crystal system: cubic
Relative energy among the computed polymorphs: 0.4527 eV/atom


(4)
Material: Tl3H5Pd12
Method: DFT, PBE
State: relaxed

Cell: 13.1728 13.1728 13.1728 Å, 90.00 90.00 90.00°
Space group Ia-3d (No. 230)
Symmetry-distinct sites (fractional):
Tl1 0.0000 0.2500 0.1250
H1 0.0000 0.0000 0.0000
H2 0.0000 0.2500 0.3750
Pd1 0.0451 0.1426 0.9519

Properties
Crystal system: cubic


Record-wise raw total energy values, in eV/atom: -3.25, -4.13, -4.92, -4.38